No. 1
The following is a PBE calculation of a relaxed SbRhI2 crystal, from Alexandria.

a = 7.9567 Å, b = 7.9567 Å, c = 7.9567 Å
α = 95.78°, β = 95.78°, γ = 142.98°
Element x y z (fractional)
Sb: 0.0000 0.0000 0.0000
Sb: 0.7500 0.2500 0.5000
Rh: 0.2500 0.7500 0.5000
Rh: 0.5000 0.5000 0.0000
I: 0.3118 0.6250 0.1868
I: 0.3750 0.5618 0.6868
I: 0.4382 0.1250 0.8132
I: 0.8750 0.6882 0.3132

Computed properties:
**DOS at the Fermi energy**: 0.83 states/eV per atom
**Total magnetization**: 0.00 Bohr magnetons per cell
**Space-group type**: I-42d, No. 122
**Uncorrected formation energy**: 32 kJ/mol of formula units


No. 2
The following is a PBE calculation of a relaxed SbRh2I crystal, from Alexandria.

a = 4.7650 Å, b = 4.7650 Å, c = 4.7650 Å
α = 60.00°, β = 60.00°, γ = 60.00°
Element x y z (fractional)
Sb: 0.0000 0.0000 0.0000
Rh: 0.2500 0.2500 0.2500
Rh: 0.7500 0.7500 0.7500
I: 0.5000 0.5000 0.5000

Computed properties:
**DOS at the Fermi energy**: 0.88 states/eV per atom
**Total magnetization**: 0.00 Bohr magnetons per cell
**Space-group type**: Fm-3m, No. 225
**Uncorrected formation energy**: 96 kJ/mol of formula units


No. 3
The following is a PBE calculation of a relaxed Sb2RhI crystal, from Alexandria.

a = 7.7468 Å, b = 7.7468 Å, c = 7.7468 Å
α = 127.76°, β = 127.76°, γ = 77.01°
Element x y z (fractional)
Sb: 0.0224 0.6250 0.8974
Sb: 0.3750 0.2724 0.3974
Sb: 0.7276 0.1250 0.1026
Sb: 0.8750 0.9776 0.6026
Rh: 0.0000 0.0000 0.0000
Rh: 0.7500 0.2500 0.5000
I: 0.2500 0.7500 0.5000
I: 0.5000 0.5000 0.0000

Computed properties:
**DOS at the Fermi energy**: 0.23 states/eV per atom
**Total magnetization**: 0.00 Bohr magnetons per cell
**Space-group type**: I-42d, No. 122
**Uncorrected formation energy**: 20 kJ/mol of formula units


No. 4
The following is a PBE calculation of a relaxed SbRhI3 crystal, from Alexandria.

a = 5.3596 Å, b = 5.3596 Å, c = 5.3596 Å
α = 90.00°, β = 90.00°, γ = 90.00°
Element x y z (fractional)
Sb: 0.0000 0.0000 0.0000
Rh: 0.5000 0.5000 0.5000
I: 0.0000 0.5000 0.5000
I: 0.5000 0.0000 0.5000
I: 0.5000 0.5000 0.0000

Computed properties:
**DOS at the Fermi energy**: 0.37 states/eV per atom
**Total magnetization**: 0.00 Bohr magnetons per cell
**Space-group type**: Pm-3m, No. 221
**Uncorrected formation energy**: 133 kJ/mol of formula units